No. 1
Material: Zr2InIr
Method: DFT, PBE-GGA
State: optimized geometry

Fermi-level density of states (states/eV/f.u.): 2.513
E_tot (eV/atom): -7.557

Cell and atoms, written as CIF:
```
data_Zr2InIr
_cell_length_a 3.328
_cell_length_b 3.347
_cell_length_c 7.330
_cell_angle_alpha 90.00
_cell_angle_beta 90.00
_cell_angle_gamma 90.00
_space_group_name_H-M_alt 'P m m 2'
_space_group_IT_number 25
loop_
_space_group_symop_operation_xyz
'x,y,z'
'-x,-y,z'
'-x,y,z'
'x,-y,z'
loop_
_atom_site_label
_atom_site_type_symbol
_atom_site_fract_x
_atom_site_fract_y
_atom_site_fract_z
Zr1 Zr 0.000 0.000 0.000
Zr2 Zr 0.500 0.500 0.291
In1 In 0.000 0.000 0.569
Ir1 Ir 0.500 0.500 0.798
```

---

No. 2
Material: Zr2InIr
Method: DFT, PBE-GGA
State: optimized geometry

Fermi-level density of states (states/eV/f.u.): 3.227
E_tot (eV/atom): -7.586

Cell and atoms, written as CIF:
```
data_Zr2InIr
_cell_length_a 6.065
_cell_length_b 8.158
_cell_length_c 3.189
_cell_angle_alpha 90.00
_cell_angle_beta 90.00
_cell_angle_gamma 90.00
_space_group_name_H-M_alt 'C m m m'
_space_group_IT_number 65
_space_group_name_Hall '-C 2 2'
loop_
_atom_site_label
_atom_site_type_symbol
_atom_site_fract_x
_atom_site_fract_y
_atom_site_fract_z
Zr1 Zr 0.250 0.250 0.000
In1 In 0.000 0.000 0.500
Ir1 Ir 0.000 0.500 0.500
```

---

No. 3
Material: ZrIn4Ir
Method: DFT, PBE-GGA
State: optimized geometry

Fermi-level density of states (states/eV/f.u.): 4.675
E_tot (eV/atom): -4.229

Cell and atoms, written as CIF:
```
data_ZrIn4Ir
_cell_length_a 8.083
_cell_length_b 8.083
_cell_length_c 8.083
_cell_angle_alpha 90.00
_cell_angle_beta 90.00
_cell_angle_gamma 90.00
_space_group_name_H-M_alt 'F -4 3 m'
_space_group_IT_number 216
_space_group_name_Hall 'F -4 2 3'
loop_
_atom_site_label
_atom_site_type_symbol
_atom_site_fract_x
_atom_site_fract_y
_atom_site_fract_z
Zr1 Zr 0.000 0.000 0.000
In1 In 0.125 0.125 0.625
Ir1 Ir 0.250 0.250 0.250
```

---

No. 4
Material: Zr6InIr
Method: DFT, PBE-GGA
State: optimized geometry

Fermi-level density of states (states/eV/f.u.): 10.050
E_tot (eV/atom): -8.174

Cell and atoms, written as CIF:
```
data_Zr6InIr
_cell_length_a 5.565
_cell_length_b 5.566
_cell_length_c 5.569
_cell_angle_alpha 93.34
_cell_angle_beta 93.35
_cell_angle_gamma 93.39
_space_group_name_H-M_alt 'P -1'
_space_group_IT_number 2
loop_
_space_group_symop_operation_xyz
'x,y,z'
'-x,-y,-z'
loop_
_atom_site_label
_atom_site_type_symbol
_atom_site_fract_x
_atom_site_fract_y
_atom_site_fract_z
Zr1 Zr 0.014 0.037 0.261
Zr2 Zr 0.239 0.487 0.965
Zr3 Zr 0.463 0.739 0.487
In1 In 0.500 0.000 0.000
Ir1 Ir 0.000 0.500 0.500
```

---

No. 5
Material: Zr5InIr6
Method: DFT, PBE-GGA
State: optimized geometry

Fermi-level density of states (states/eV/f.u.): 9.203
E_tot (eV/atom): -8.928

Cell and atoms, written as CIF:
```
data_Zr5InIr6
_cell_length_a 4.404
_cell_length_b 7.366
_cell_length_c 13.198
_cell_angle_alpha 90.00
_cell_angle_beta 90.00
_cell_angle_gamma 90.00
_space_group_name_H-M_alt 'I m m m'
_space_group_IT_number 71
_space_group_name_Hall '-I 2 2'
loop_
_atom_site_label
_atom_site_type_symbol
_atom_site_fract_x
_atom_site_fract_y
_atom_site_fract_z
Zr1 Zr 0.000 0.000 0.000
Zr2 Zr 0.000 0.000 0.334
Zr3 Zr 0.000 0.500 0.338
In1 In 0.000 0.500 0.000
Ir1 Ir 0.000 0.247 0.500
Ir2 Ir 0.000 0.253 0.169
```

---

No. 6
Material: ZrInIr
Method: DFT, PBE-GGA
State: optimized geometry

Fermi-level density of states (states/eV/f.u.): 1.966
E_tot (eV/atom): -6.872

Cell and atoms, written as CIF:
```
data_ZrInIr
_cell_length_a 3.4842
_cell_length_b 3.4842
_cell_length_c 6.2649
_cell_angle_alpha 90.00
_cell_angle_beta 90.00
_cell_angle_gamma 120.00
_space_group_name_H-M_alt 'P 3 m 1'
_space_group_IT_number 156
loop_
_space_group_symop_operation_xyz
'x,y,z'
'-y,x-y,z'
'-x+y,-x,z'
'-y,-x,z'
'-x+y,y,z'
'x,x-y,z'
loop_
_atom_site_label
_atom_site_type_symbol
_atom_site_fract_x
_atom_site_fract_y
_atom_site_fract_z
Zr1 Zr 0.0000 0.0000 0.0000
In1 In 0.3333 0.6667 0.4043
Ir1 Ir 0.6667 0.3333 0.7347
```

---

No. 7
Material: Zr4InIr
Method: DFT, PBE-GGA
State: optimized geometry

Fermi-level density of states (states/eV/f.u.): 6.517
E_tot (eV/atom): -7.421

Cell and atoms, written as CIF:
```
data_Zr4InIr
_cell_length_a 7.962
_cell_length_b 7.962
_cell_length_c 7.962
_cell_angle_alpha 90.00
_cell_angle_beta 90.00
_cell_angle_gamma 90.00
_space_group_name_H-M_alt 'F -4 3 m'
_space_group_IT_number 216
_space_group_name_Hall 'F -4 2 3'
loop_
_atom_site_label
_atom_site_type_symbol
_atom_site_fract_x
_atom_site_fract_y
_atom_site_fract_z
Zr1 Zr 0.124 0.124 0.376
In1 In 0.000 0.000 0.000
Ir1 Ir 0.250 0.250 0.750
```

---

No. 8
Material: Zr2InIr
Method: DFT, PBE-GGA
State: optimized geometry

Fermi-level density of states (states/eV/f.u.): 4.408
E_tot (eV/atom): -7.601

Cell and atoms, written as CIF:
```
data_Zr2InIr
_cell_length_a 4.376
_cell_length_b 4.376
_cell_length_c 4.112
_cell_angle_alpha 90.00
_cell_angle_beta 90.00
_cell_angle_gamma 90.00
_space_group_name_H-M_alt 'P 4/m m m'
_space_group_IT_number 123
_space_group_name_Hall '-P 4 2'
loop_
_atom_site_label
_atom_site_type_symbol
_atom_site_fract_x
_atom_site_fract_y
_atom_site_fract_z
Zr1 Zr 0.000 0.500 0.000
In1 In 0.000 0.000 0.500
Ir1 Ir 0.500 0.500 0.500
```

---

The records above give, respectively, E_form values of -0.38; -0.41; 0.50; -0.31; -0.71; -0.16; 0.21; -0.43 eV/atom.
The records above give, respectively, ρ values of 9.96; 10.30; 9.34; 8.27; 13.38; 10.04; 8.84; 10.32 g/cm³.